Entry from Alexandria: a relaxed structure of SeSBr2Cl (PBE-GGA).

POSCAR file:
```
SeSBr2Cl
1.0
5.384 0.000 0.000
0.000 5.384 0.000
0.000 0.000 5.082
S Se Br Cl
1 1 2 1
Cartesian
2.692 2.692 2.541
0.000 0.000 2.541
0.000 2.692 0.000
2.692 0.000 0.000
0.000 0.000 0.000
```

As for the symmetry: P4/mmm. The calculation puts the density of states at the Fermi level at 0.52 states/eV per atom. The mass density comes out at 3.45 g/cm3. The value obtained for the uncorrected formation energy is 1.03 eV per atom. As for the total energy: -1.5288 eV/atom.